1.
Computed, not measured: La3Dy2Th after structural relaxation at the GGA-PBE level of DFT.

POSCAR file:
```
La3Dy2Th
1.0
-2.469 3.470 -2.557
-4.209 -1.298 2.298
6.503 10.086 12.239
La Th Dy
6 2 4
Cartesian
4.201 8.849 10.198
-1.241 8.491 7.896
1.098 9.858 10.077
-4.375 3.410 1.782
1.067 3.768 4.084
-1.272 2.401 1.902
-2.243 4.955 4.064
2.069 7.303 7.915
-3.771 -0.100 1.078
-0.522 4.937 7.203
0.348 7.321 4.776
-2.906 2.272 -1.337
```

Values from the calculation:
Formation enthalpy at 0 K ... 0.17 eV per atom
Crystal system ... orthorhombic


2.
Computed, not measured: LaDy6Th12 after structural relaxation at the GGA-PBE level of DFT.

POSCAR file:
```
LaDy6Th12
1.0
-7.311 -4.526 1.580
5.057 -6.426 -3.093
3.158 0.559 8.133
Dy Th La
6 12 1
Cartesian
4.894 -6.823 5.074
-2.009 -5.763 7.682
-3.990 -3.570 1.547
-0.949 -9.662 1.416
2.913 -4.630 -1.061
1.854 -0.732 5.204
1.433 -6.600 6.478
-0.029 -3.425 6.157
-1.038 -1.922 3.149
0.934 -6.968 0.463
1.942 -8.471 3.471
-1.371 -7.962 4.723
3.589 -5.679 2.125
3.107 -3.907 4.972
-0.529 -3.793 0.142
2.276 -2.431 1.898
-2.685 -4.715 4.495
-2.203 -6.486 1.648
0.000 0.000 0.000
```

Values from the calculation:
Formation enthalpy at 0 K ... 0.24 eV per atom
Crystal system ... trigonal


3.
Computed, not measured: La9DyTh4 after structural relaxation at the GGA-PBE level of DFT.

POSCAR file:
```
La9DyTh4
1.0
-11.120 0.038 0.056
-0.001 -8.568 5.601
0.054 9.134 4.620
La Th Dy
18 8 2
Cartesian
-0.487 -5.068 5.409
-10.601 1.953 2.987
-2.751 1.045 5.083
-2.751 4.236 2.997
-8.336 -3.843 3.474
-0.487 -1.580 3.130
-0.465 -1.350 7.290
-5.052 -1.564 3.153
-6.036 1.938 2.964
-6.014 2.168 7.124
-10.579 5.672 4.867
-2.731 4.447 6.803
-5.030 -1.334 7.313
-10.579 2.184 7.147
-6.014 5.656 4.844
-5.052 -5.052 5.432
-8.316 -3.633 7.280
-8.316 -0.441 5.194
-2.768 1.088 1.665
0.000 0.000 0.000
-5.560 0.019 0.028
-8.334 -0.862 1.802
-2.732 1.466 8.475
-8.335 -6.571 5.534
-2.732 7.175 4.743
-8.298 -0.484 8.612
-8.304 3.262 4.989
-2.762 -2.658 5.288
```

Values from the calculation:
Formation enthalpy at 0 K ... 0.12 eV per atom
Crystal system ... hexagonal


4.
Computed, not measured: La2Dy4Th5 after structural relaxation at the GGA-PBE level of DFT.

POSCAR file:
```
La2Dy4Th5
1.0
3.476 0.000 0.000
0.000 8.847 -0.199
0.000 1.102 11.738
Th La Dy
5 2 4
Cartesian
0.000 2.733 9.626
0.000 5.942 8.283
0.000 4.423 -0.100
0.000 7.216 1.912
0.000 4.006 3.256
0.000 0.868 4.288
0.000 9.080 7.251
1.738 1.525 1.041
1.738 6.556 5.055
1.738 3.392 6.484
1.738 8.424 10.498
```

Values from the calculation:
Formation enthalpy at 0 K ... 0.14 eV per atom
Crystal system ... monoclinic


5.
Computed, not measured: La4Dy5Th2 after structural relaxation at the GGA-PBE level of DFT.

POSCAR file:
```
La4Dy5Th2
1.0
-3.544 0.749 -0.001
0.682 -5.442 7.845
12.407 6.138 6.683
La Dy Th
4 5 2
Cartesian
6.092 2.553 5.024
8.248 4.011 7.707
3.453 -1.107 9.504
1.297 -2.565 6.820
5.853 1.462 8.576
0.358 1.723 2.537
-1.772 0.375 -0.001
9.186 -0.277 11.991
3.692 -0.017 5.951
11.551 2.154 11.022
-2.007 -0.708 3.505
```

Values from the calculation:
Formation enthalpy at 0 K ... 0.03 eV per atom
Crystal system ... triclinic


6.
Computed, not measured: La3Dy12Th after structural relaxation at the GGA-PBE level of DFT.

POSCAR file:
```
La3Dy12Th
1.0
5.070 0.000 0.000
0.000 5.070 0.000
0.000 0.000 20.279
Dy La Th
12 3 1
Cartesian
0.000 2.535 12.698
2.535 2.535 15.245
2.535 0.000 17.831
0.000 2.535 17.831
2.535 0.000 12.698
0.000 2.535 2.448
2.535 0.000 7.581
2.535 2.535 10.140
2.535 2.535 0.000
2.535 0.000 2.448
2.535 2.535 5.034
0.000 2.535 7.581
0.000 0.000 5.048
0.000 0.000 15.231
0.000 0.000 10.140
0.000 0.000 0.000
```

Values from the calculation:
Formation enthalpy at 0 K ... 0.03 eV per atom
Crystal system ... tetragonal


7.
Computed, not measured: La11Dy9Th4 after structural relaxation at the GGA-PBE level of DFT.

POSCAR file:
```
La11Dy9Th4
1.0
3.719 0.000 0.000
0.000 14.389 -6.116
0.000 0.031 15.635
La Th Dy
11 4 9
Cartesian
0.000 2.296 12.204
0.000 0.000 0.000
0.000 0.692 6.111
0.000 8.529 11.285
0.000 9.090 1.912
0.000 5.892 -1.766
0.000 12.125 -2.685
0.000 4.261 2.813
0.000 5.331 7.607
0.000 13.729 3.408
0.000 10.160 6.707
1.860 3.486 5.486
1.860 10.935 4.033
1.860 8.006 8.470
1.860 6.415 1.050
1.860 11.361 9.765
1.860 5.289 10.832
1.860 12.039 0.607
1.860 13.444 6.609
1.860 7.210 4.760
1.860 0.977 2.910
1.860 3.060 -0.245
1.860 2.382 8.912
1.860 9.131 -1.312
```

Values from the calculation:
Formation enthalpy at 0 K ... 0.10 eV per atom
Crystal system ... orthorhombic


8.
Computed, not measured: LaDy4Th after structural relaxation at the GGA-PBE level of DFT.

POSCAR file:
```
LaDy4Th
1.0
3.595 0.002 -0.003
-1.777 5.845 -7.171
-0.029 -4.460 14.758
Dy Th La
4 1 1
Cartesian
-0.010 -0.231 5.020
1.799 1.618 2.564
0.016 3.951 -4.780
1.772 -2.564 12.364
1.788 1.387 7.584
1.783 -2.229 7.377
```

Values from the calculation:
Formation enthalpy at 0 K ... 0.03 eV per atom
Crystal system ... triclinic
Offset from the most stable computed form ... 0 meV per atom